## InOs2Cl (GGA-PBE)

Data for InOs2Cl after structural relaxation.

Cell: 6.6658 6.6658 6.6658 Å, 155.58 142.35 45.38°
Last column: nearest neighbours and their distance in Å.
Fractional coordinates of all 4 atoms:
Os: 0.9794 0.9794 0.0000  4 Os 2.55-2.82, 4 Cl 2.59
In: 0.2091 0.7091 0.5000  2 In 2.82, 6 Os 2.84-3.16
Os: 0.8068 0.3068 0.5000  4 Os 2.55-2.82, 4 In 2.84
Cl: 0.5047 0.5047 0.0000  4 Os 2.59, 2 Cl 2.82

Total magnetic moment in μB/cell: 0.03
Energy relative to the lowest polymorph listed for this composition in eV per atom: 0.615
ΔE_f (raw) in eV/atom: 0.88
Theoretical density in g/cm3: 11.8
Calculated volume in Å³/atom: 18.64

---

## FeHgW2 (GGA-PBE)

Data for FeHgW2 after structural relaxation.

Cell: 2.7645 2.7645 9.0041 Å, 90.00 90.00 108.36°
Last column: nearest neighbours and their distance in Å.
Fractional coordinates of all 4 atoms:
W: 0.0000 0.0000 0.0176  6 W 2.74-2.76, 2 Hg 3.01
Fe: 0.0000 0.0000 0.4832  2 W 2.56, 4 Fe 2.76, 2 Hg 2.79
W: 0.5000 0.5000 0.2632  2 Fe 2.56, 6 W 2.74-2.76
Hg: 0.5000 0.5000 0.7360  4 Hg 2.76, 2 Fe 2.79, 2 W 3.01

Total magnetic moment in μB/cell: 2.08
Energy relative to the elements in eV/atom: 0.3995
Theoretical density in g/cm3: 15.9
Calculated volume in Å³/atom: 16.33

---

## Pd2O3 (GGA-PBE)

Data for Pd2O3 after structural relaxation.

Cell: 4.1317 4.1317 4.1317 Å, 85.82 85.82 85.82°
Last column: nearest neighbours and their distance in Å.
Fractional coordinates of all 5 atoms:
Pd: 0.8841 0.8841 0.8841  3 O 2.03
O: 0.0167 0.5516 0.5516  3 Pd 1.99-2.19
O: 0.5516 0.5516 0.0167  3 Pd 1.99-2.19
O: 0.5516 0.0167 0.5516  3 Pd 1.99-2.19
Pd: 0.5001 0.5001 0.5001  6 O 1.99-2.19

Total magnetic moment in μB/cell: 0.00
ΔE_f (raw) in eV/atom: 0.15
Theoretical density in g/cm3: 6.2
Calculated volume in Å³/atom: 14.00

---

## Cs4Ho3GaO8 (GGA-PBE)

Data for Cs4Ho3GaO8 after structural relaxation.

Cell: 6.9497 7.9245 6.9540 Å, 116.02 119.98 90.00°
Last column: nearest neighbours and their distance in Å.
Fractional coordinates of all 16 atoms:
Cs: 0.0000 0.0000 0.5000  6 O 3.03-3.06
O: 0.2123 0.6611 0.9488  1 Ga 2.20, 2 Ho 2.33
O: 0.2635 0.3389 0.0512  1 Ga 2.20, 2 Ho 2.33
O: 0.2135 0.6620 0.4269  1 Ga 2.22, 2 Ho 2.33
Cs: 0.5000 0.0000 0.0000  6 O 3.12-3.13, 6 Cs 3.47-3.48
O: 0.7877 0.3389 0.0512  1 Ga 2.20, 2 Ho 2.33
Ho: 0.5000 0.5000 0.5000  6 O 2.29-2.33
O: 0.7865 0.3380 0.5731  1 Ga 2.22, 2 Ho 2.33
O: 0.7365 0.6611 0.9488  1 Ga 2.20, 2 Ho 2.33
O: 0.7206 0.6621 0.4412  3 Ho 2.29
Cs: 0.5000 0.0000 0.5000  6 O 3.03-3.06
Cs: 0.0000 0.0000 0.0000  6 O 3.03-3.06
Ho: 0.5000 0.5000 0.0000  6 O 2.29-2.33
Ho: 0.0000 0.5000 0.5000  6 O 2.29-2.33
Ga: 0.0000 0.5000 0.0000  6 O 2.20-2.22
O: 0.2794 0.3379 0.5588  3 Ho 2.29

Total magnetic moment in μB/cell: 0.00
ΔE_f (raw) in eV/atom: -2.27
Theoretical density in g/cm3: 7.1
Calculated volume in Å³/atom: 17.88